Density functional theory data (GGA+U) for a relaxed structure of CrHF.

CIF file:
```
data_CrHF
_space_group_name_H-M_alt 'P 1'
_space_group_IT_number 1
_cell_length_a 3.201
_cell_length_b 7.548
_cell_length_c 6.047
_cell_angle_alpha 62.84
_cell_angle_beta 90.00
_cell_angle_gamma 90.00
loop_
_space_group_symop_operation_xyz
'x,y,z'
loop_
_atom_site_label
_atom_site_type_symbol
_atom_site_fract_x
_atom_site_fract_y
_atom_site_fract_z
H1 H 0.750 0.146 0.962
Cr1 Cr 0.250 0.052 0.186
Cr2 Cr 0.250 0.552 0.186
F1 F 0.250 0.084 0.594
Cr3 Cr 0.750 0.448 0.814
H2 H 0.250 0.354 0.038
F2 F 0.750 0.416 0.406
Cr4 Cr 0.750 0.948 0.814
F3 F 0.250 0.584 0.594
H3 H 0.750 0.646 0.962
F4 F 0.750 0.916 0.406
H4 H 0.250 0.854 0.038
```

Results
Space-group type   P2_1/m, No. 11
Volume   10.83 Å³/atom
Total energy   -5.313 eV per atom